DFT (PBE) results for a relaxed structure of Cs4CdBi2Cl12.

a b c (Å): 13.265 13.265 13.265
angles (deg): 33.49 33.49 33.49
Element x y z (fractional)
Cs (0.124, 0.124, 0.124)
Cs (0.375, 0.375, 0.375)
Cs (0.625, 0.625, 0.625)
Cs (0.876, 0.876, 0.876)
Cd (0.500, 0.500, 0.500)
Bi (0.254, 0.254, 0.254)
Bi (0.746, 0.746, 0.746)
Cl (0.128, 0.128, 0.620)
Cl (0.128, 0.620, 0.128)
Cl (0.135, 0.622, 0.622)
Cl (0.378, 0.378, 0.865)
Cl (0.378, 0.865, 0.378)
Cl (0.380, 0.872, 0.872)
Cl (0.620, 0.128, 0.128)
Cl (0.622, 0.135, 0.622)
Cl (0.622, 0.622, 0.135)
Cl (0.865, 0.378, 0.378)
Cl (0.872, 0.380, 0.872)
Cl (0.872, 0.872, 0.380)

Computed properties:
Space group: No. 166
E in eV/atom: -3.31


DFT (PBE) results for a relaxed structure of CdBiClO2.

a b c (Å): 6.466 6.466 5.529
angles (deg): 90.00 90.00 128.15
Element x y z (fractional)
Cd (0.087, 0.913, 0.750)
Cd (0.913, 0.087, 0.250)
Bi (0.402, 0.598, 0.750)
Bi (0.598, 0.402, 0.250)
Cl (0.242, 0.758, 0.250)
Cl (0.758, 0.242, 0.750)
O (0.264, 0.264, 0.000)
O (0.264, 0.264, 0.500)
O (0.736, 0.736, 0.000)
O (0.736, 0.736, 0.500)

Computed properties:
Space group: No. 63
E in eV/atom: -4.46